No. 1
Here is an optimized crystal structure of HoSbRuRh from Alexandria. Energies are from PBE-GGA.

Computed properties:
Calculated volume: 18.06 A^3/atom
Space group: F-43m, No. 216
N(E_F): 12.0 states/eV/cell
Calculated density: 11.28 Mg/m³
Final energy: -6.88 eV/atom
ΔE_f (raw): -0.552 eV/atom

a = 6.6111 Å, b = 6.6111 Å, c = 6.6111 Å
α = 90.00°, β = 90.00°, γ = 90.00°
Sites, in units of the cell vectors:
Ho 0.0000 0.0000 0.0000
Ho 0.0000 0.5000 0.5000
Ho 0.5000 0.0000 0.5000
Ho 0.5000 0.5000 0.0000
Sb 0.0000 0.0000 0.5000
Sb 0.0000 0.5000 0.0000
Sb 0.5000 0.0000 0.0000
Sb 0.5000 0.5000 0.5000
Ru 0.2500 0.2500 0.7500
Ru 0.2500 0.7500 0.2500
Ru 0.7500 0.2500 0.2500
Ru 0.7500 0.7500 0.7500
Rh 0.2500 0.2500 0.2500
Rh 0.2500 0.7500 0.7500
Rh 0.7500 0.2500 0.7500
Rh 0.7500 0.7500 0.2500

---

No. 2
Here is an optimized crystal structure of SmHoRuRh from Alexandria. Energies are from PBE-GGA.

Computed properties:
Calculated volume: 20.38 A^3/atom
Space group: F-43m, No. 216
N(E_F): 9.9 states/eV/cell
Calculated density: 10.58 Mg/m³
DFT formation energy: -0.5455 eV per atom
Final energy: -7.03 eV/atom
Relative energy among the computed polymorphs: 16 meV per atom

a = 6.8833 Å, b = 6.8833 Å, c = 6.8833 Å
α = 90.00°, β = 90.00°, γ = 90.00°
Sites, in units of the cell vectors:
Sm 0.0000 0.0000 0.0000
Sm 0.0000 0.5000 0.5000
Sm 0.5000 0.0000 0.5000
Sm 0.5000 0.5000 0.0000
Ho 0.0000 0.0000 0.5000
Ho 0.0000 0.5000 0.0000
Ho 0.5000 0.0000 0.0000
Ho 0.5000 0.5000 0.5000
Ru 0.2500 0.2500 0.7500
Ru 0.2500 0.7500 0.2500
Ru 0.7500 0.2500 0.2500
Ru 0.7500 0.7500 0.7500
Rh 0.2500 0.2500 0.2500
Rh 0.2500 0.7500 0.7500
Rh 0.7500 0.2500 0.7500
Rh 0.7500 0.7500 0.2500

---

No. 3
Here is an optimized crystal structure of SmHoRuRh from Alexandria. Energies are from PBE-GGA.

Computed properties:
Calculated volume: 20.32 A^3/atom
Space group: P4mm, No. 99
N(E_F): 1.6 states/eV/cell
Calculated density: 10.61 Mg/m³
DFT formation energy: -0.5614 eV per atom
Final energy: -7.04 eV/atom
Relative energy among the computed polymorphs: 0 meV per atom

a = 3.4409 Å, b = 3.4409 Å, c = 6.8659 Å
α = 90.00°, β = 90.00°, γ = 90.00°
Sites, in units of the cell vectors:
Sm 0.0000 0.0000 0.0000
Ho 0.0000 0.0000 0.5077
Ru 0.5000 0.5000 0.7479
Rh 0.5000 0.5000 0.2616

---

No. 4
Here is an optimized crystal structure of Ho4SnRuRh2 from Alexandria. Energies are from PBE-GGA.

Computed properties:
Calculated volume: 21.42 A^3/atom
Space group: R-3m, No. 166
N(E_F): 4.5 states/eV/cell
Calculated density: 10.52 Mg/m³
DFT formation energy: -0.6716 eV per atom
Final energy: -6.46 eV/atom

a = 8.6892 Å, b = 8.6892 Å, c = 8.6892 Å
α = 32.81°, β = 32.81°, γ = 32.81°
Sites, in units of the cell vectors:
Ho 0.1158 0.1158 0.1158
Ho 0.3696 0.3696 0.3696
Ho 0.6304 0.6304 0.6304
Ho 0.8842 0.8842 0.8842
Sn 0.5000 0.5000 0.5000
Ru 0.0000 0.0000 0.0000
Rh 0.2526 0.2526 0.2526
Rh 0.7474 0.7474 0.7474

---

No. 5
Here is an optimized crystal structure of HoTaRuRh from Alexandria. Energies are from PBE-GGA.

Computed properties:
Calculated volume: 17.59 A^3/atom
Space group: F-43m, No. 216
N(E_F): 9.3 states/eV/cell
Calculated density: 12.98 Mg/m³
DFT formation energy: -0.4390 eV per atom
Final energy: -8.70 eV/atom

a = 6.5536 Å, b = 6.5536 Å, c = 6.5536 Å
α = 90.00°, β = 90.00°, γ = 90.00°
Sites, in units of the cell vectors:
Ho 0.0000 0.0000 0.0000
Ho 0.0000 0.5000 0.5000
Ho 0.5000 0.0000 0.5000
Ho 0.5000 0.5000 0.0000
Ta 0.0000 0.0000 0.5000
Ta 0.0000 0.5000 0.0000
Ta 0.5000 0.0000 0.0000
Ta 0.5000 0.5000 0.5000
Ru 0.2500 0.2500 0.2500
Ru 0.2500 0.7500 0.7500
Ru 0.7500 0.2500 0.7500
Ru 0.7500 0.7500 0.2500
Rh 0.2500 0.2500 0.7500
Rh 0.2500 0.7500 0.2500
Rh 0.7500 0.2500 0.2500
Rh 0.7500 0.7500 0.7500

---

No. 6
Here is an optimized crystal structure of HoTiRuRh from Alexandria. Energies are from PBE-GGA.

Computed properties:
Calculated volume: 17.09 A^3/atom
Space group: F-43m, No. 216
N(E_F): 10.9 states/eV/cell
Calculated density: 10.12 Mg/m³
DFT formation energy: -0.6054 eV per atom
Final energy: -7.88 eV/atom

a = 6.4912 Å, b = 6.4912 Å, c = 6.4912 Å
α = 90.00°, β = 90.00°, γ = 90.00°
Sites, in units of the cell vectors:
Ho 0.0000 0.0000 0.0000
Ho 0.0000 0.5000 0.5000
Ho 0.5000 0.0000 0.5000
Ho 0.5000 0.5000 0.0000
Ti 0.0000 0.0000 0.5000
Ti 0.0000 0.5000 0.0000
Ti 0.5000 0.0000 0.0000
Ti 0.5000 0.5000 0.5000
Ru 0.2500 0.2500 0.7500
Ru 0.2500 0.7500 0.2500
Ru 0.7500 0.2500 0.2500
Ru 0.7500 0.7500 0.7500
Rh 0.2500 0.2500 0.2500
Rh 0.2500 0.7500 0.7500
Rh 0.7500 0.2500 0.7500
Rh 0.7500 0.7500 0.2500